# 1
## Ho3Zn2Pt (PBE)

Data for an optimized crystal structure of Ho3Zn2Pt.

Geometry as POSCAR:
```
Ho3Zn2Pt
1.0
-3.0369 -1.6469 -0.8247
0.1850 -1.8552 3.0232
-5.3638 7.4403 4.8941
Zn Ho Pt
2 3 1
Cartesian
-5.9062 4.4637 5.1871
-2.3095 -0.5254 1.9054
-1.8265 2.5335 1.6665
0.0000 0.0000 0.0000
-3.5374 4.9068 3.2276
-4.1079 1.9691 3.5463
```

Properties
Energy of formation from the pure elements: -670 meV per atom
Energy: -4.3901 eV/atom

***

# 2
## NaHS (PBE)

Data for an optimized crystal structure of NaHS.

Geometry as POSCAR:
```
NaHS
1.0
-2.0420 -0.0101 3.5598
0.4573 -4.0755 0.1511
5.8492 1.8735 4.5605
S Na H
2 2 2
Cartesian
3.2395 0.4224 6.2913
1.0250 -2.6345 1.9801
4.6489 -1.5568 4.7142
-0.3844 -0.6553 3.5573
2.3066 -2.7684 2.3800
1.9578 0.5563 5.8914
```

Properties
Energy: -3.6085 eV/atom